# 1
! AcMg2Ga (PBE, optimized geometry); values from VASP
! Energy above the most stable polymorph in this dataset (eV per formula unit): 2.01
! Magnetic moment (μB per cell): 0.00
! Raw total energy (eV/atom): -2.343
! Space-group type: No. 166
! Energy relative to the elements (meV/atom): 238
&SYSTEM
  ibrav = 0, nat = 4, ntyp = 3
/
ATOMIC_SPECIES
Mg 24.30 Mg.upf
Ga 69.72 Ga.upf
Ac 227.00 Ac.upf
ATOMIC_POSITIONS angstrom
Mg -4.391 -4.139 -3.195
Mg -3.060 -7.481 1.616
Ga -3.726 -5.810 -0.789
Ac 0.000 0.000 0.000
CELL_PARAMETERS angstrom
-3.082 0.181 -1.423
-0.505 -1.241 -3.124
-3.865 -10.559 2.969

# 2
! Zn2AgAu10 (PBE, optimized geometry); values from VASP
! Magnetic moment (μB per cell): 0.00
! Raw total energy (eV/atom): -2.941
! Space-group type: No. 69
! Energy relative to the elements (meV/atom): -5
&SYSTEM
  ibrav = 0, nat = 13, ntyp = 3
/
ATOMIC_SPECIES
Au 196.97 Au.upf
Zn 65.41 Zn.upf
Ag 107.87 Ag.upf
ATOMIC_POSITIONS angstrom
Au 5.621 2.221 2.173
Au 8.432 2.221 4.543
Au 1.405 0.000 3.358
Au 2.811 4.189 2.173
Au 2.811 1.435 1.401
Au 5.621 1.435 5.315
Au 8.432 4.975 5.315
Au 5.621 4.189 4.543
Au 4.216 0.000 3.358
Au 5.621 4.975 1.401
Zn 1.405 3.205 0.000
Zn 4.216 3.205 0.000
Ag 0.000 0.000 0.000
CELL_PARAMETERS angstrom
5.621 0.000 0.000
2.811 6.410 0.000
2.811 0.000 6.716

# 3
! NaIn3Cu (PBE, optimized geometry); values from VASP
! Energy above the most stable polymorph in this dataset (eV per formula unit): 4.48
! Magnetic moment (μB per cell): 0.00
! Raw total energy (eV/atom): -1.882
! Space-group type: No. 221
! Energy relative to the elements (meV/atom): 844
&SYSTEM
  ibrav = 0, nat = 5, ntyp = 3
/
ATOMIC_SPECIES
In 114.82 In.upf
Na 22.99 Na.upf
Cu 63.55 Cu.upf
ATOMIC_POSITIONS angstrom
In -2.569 0.649 -0.725
In -0.030 1.993 1.891
In -0.972 -1.777 1.856
Na 0.000 0.000 0.000
Cu -3.572 0.865 3.023
CELL_PARAMETERS angstrom
-0.061 3.985 3.782
-5.139 1.298 -1.450
-1.945 -3.553 3.712